Arrangement w

Density functional theory data (GGA-PBE) for a geometry-optimized YSb3O structure.

Unit cell a=4.827 b=4.827 c=4.827 alpha=90.00 beta=90.00 gamma=90.00
Fractional coordinates of all 5 atoms:
1 Y 0.000 0.000 0.000
2 Sb 0.000 0.500 0.500
3 Sb 0.500 0.000 0.500
4 Sb 0.500 0.500 0.000
5 O 0.500 0.500 0.500

- D(E_F): 0.312 states/eV per atom

=====

Arrangement x

Density functional theory data (GGA-PBE) for a geometry-optimized YSb3O structure.

Unit cell a=5.727 b=5.727 c=5.727 alpha=90.00 beta=90.00 gamma=90.00
Fractional coordinates of all 5 atoms:
1 Y 0.000 0.000 0.000
2 Sb 0.000 0.000 0.500
3 Sb 0.000 0.500 0.000
4 Sb 0.500 0.000 0.000
5 O 0.500 0.500 0.500

- D(E_F): 2.233 states/eV per atom

=====

Computed stability ranking, most favorable first: arrangement w, arrangement x

=====

Arrangement w

Density functional theory data (GGA-PBE) for a geometry-optimized YSbO structure.

Unit cell a=3.808 b=3.808 c=10.266 alpha=90.00 beta=90.00 gamma=120.00
Fractional coordinates of all 6 atoms:
1 Y 0.333 0.667 0.358
2 Y 0.667 0.333 0.642
3 Sb 0.333 0.667 0.901
4 Sb 0.667 0.333 0.099
5 O 0.333 0.667 0.585
6 O 0.667 0.333 0.415

- D(E_F): 0.389 states/eV per atom

=====

Arrangement x

Density functional theory data (GGA-PBE) for a geometry-optimized YSbO structure.

Unit cell a=6.867 b=6.867 c=5.816 alpha=90.00 beta=90.00 gamma=152.80
Fractional coordinates of all 6 atoms:
1 Y 0.056 0.944 0.750
2 Y 0.944 0.056 0.250
3 Sb 0.231 0.769 0.250
4 Sb 0.769 0.231 0.750
5 O 0.500 0.500 0.000
6 O 0.500 0.500 0.500

- D(E_F): 0.084 states/eV per atom

=====

Computed stability ranking, most favorable first: arrangement x, arrangement w

=====

Arrangement w

Density functional theory data (GGA-PBE) for a geometry-optimized Y3SbO structure.

Unit cell a=4.778 b=4.778 c=4.778 alpha=90.00 beta=90.00 gamma=90.00
Fractional coordinates of all 5 atoms:
1 Y 0.000 0.000 0.500
2 Y 0.000 0.500 0.000
3 Y 0.500 0.000 0.000
4 Sb 0.500 0.500 0.500
5 O 0.000 0.000 0.000

- D(E_F): 0.940 states/eV per atom

=====

Arrangement x

Density functional theory data (GGA-PBE) for a geometry-optimized Y3SbO structure.

Unit cell a=8.696 b=8.696 c=8.559 alpha=97.41 beta=97.41 gamma=26.08
Fractional coordinates of all 10 atoms:
1 Y 0.011 0.011 0.211
2 Y 0.179 0.179 0.643
3 Y 0.338 0.338 0.000
4 Y 0.662 0.662 0.000
5 Y 0.821 0.821 0.357
6 Y 0.989 0.989 0.789
7 Sb 0.362 0.362 0.636
8 Sb 0.638 0.638 0.364
9 O 0.204 0.204 0.904
10 O 0.796 0.796 0.096

- D(E_F): 0.657 states/eV per atom

=====

Computed stability ranking, most favorable first: arrangement w, arrangement x